Record 1
## CuHgAuF6 (GGA-PBE)

Data for a relaxed structure of CuHgAuF6.

## Properties
- SG: No. 163

Unit cell a=5.695 b=5.695 c=9.380 alpha=90.00 beta=90.00 gamma=120.00
Positions (direct):
Cu 0.333 0.667 0.250
Cu 0.667 0.333 0.750
Hg 0.333 0.667 0.750
Hg 0.667 0.333 0.250
Au 0.000 0.000 0.000
Au 0.000 0.000 0.500
F 0.046 0.363 0.131
F 0.046 0.683 0.369
F 0.317 0.363 0.369
F 0.317 0.954 0.131
F 0.363 0.046 0.631
F 0.363 0.317 0.869
F 0.637 0.683 0.131
F 0.637 0.954 0.369
F 0.683 0.046 0.869
F 0.683 0.637 0.631
F 0.954 0.317 0.631
F 0.954 0.637 0.869



Record 2
## CuAuIF2 (GGA-PBE)

Data for a relaxed structure of CuAuIF2.

## Properties
- SG: No. 123
- Distance to the lowest polymorph of the same formula: 0 meV per atom

Unit cell a=3.925 b=3.925 c=6.053 alpha=90.00 beta=90.00 gamma=90.00
Positions (direct):
Cu 0.000 0.000 0.000
Au 0.000 0.000 0.500
I 0.500 0.500 0.500
F 0.000 0.500 0.000
F 0.500 0.000 0.000



Record 3
## CuAuIF2 (GGA-PBE)

Data for a relaxed structure of CuAuIF2.

## Properties
- SG: No. 123
- Distance to the lowest polymorph of the same formula: 12 meV per atom

Unit cell a=3.926 b=3.926 c=6.383 alpha=90.00 beta=90.00 gamma=90.00
Positions (direct):
Cu 0.000 0.000 0.000
Au 0.500 0.500 0.500
I 0.000 0.000 0.500
F 0.000 0.500 0.000
F 0.500 0.000 0.000



Results for uncorrected energy: -3.30; -3.33; -3.32 (in eV per atom, following the order of the records).